<i>
Material: LaHF
Method: DFT, PBE
State: optimized geometry

Cell and atoms, written as CIF:
```
data_LaHF
_chemical_formula_sum 'La6 H6 F6'
_symmetry_space_group_name_H-M 'R -3 m'
_symmetry_Int_Tables_number 166
_symmetry_space_group_name_Hall '-R 3 2"'
_cell_length_a 4.0128
_cell_length_b 4.0128
_cell_length_c 20.4233
_cell_angle_alpha 90.00
_cell_angle_beta 90.00
_cell_angle_gamma 120.00
loop_
_atom_site_label
_atom_site_fract_x
_atom_site_fract_y
_atom_site_fract_z
La1 0.0000 0.0000 0.2415
H1 0.0000 0.0000 0.1236
F1 0.0000 0.0000 0.3704
```

Calculated density in g/cm³: 5.559
Fermi-level density of states in states/eV/atom: 0.23

=====

<ii>
Material: LaHF
Method: DFT, PBE
State: optimized geometry

Cell and atoms, written as CIF:
```
data_LaHF
_chemical_formula_sum 'La4 H4 F4'
_symmetry_space_group_name_H-M 'F -4 3 m'
_symmetry_Int_Tables_number 216
_symmetry_space_group_name_Hall 'F -4 2 3'
_cell_length_a 5.786
_cell_length_b 5.786
_cell_length_c 5.786
_cell_angle_alpha 90.00
_cell_angle_beta 90.00
_cell_angle_gamma 90.00
loop_
_atom_site_label
_atom_site_fract_x
_atom_site_fract_y
_atom_site_fract_z
La1 0.000 0.000 0.000
H1 0.250 0.250 0.750
F1 0.250 0.250 0.250
```

Calculated density in g/cm³: 5.448
Fermi-level density of states in states/eV/atom: 0.62

=====

The structure with the greatest stability is <i>.